VASP calculation (PBEsol) on an optimized crystal structure of BaCuPt2.

## Properties
Total moment ... 0.0 μB per cell
Space group ... No. 139
Excess energy over the best structure of this formula in the dataset ... 0.553 eV/atom
Formation energy ... 0.140 eV per atom

Cell lengths 5.2921, 5.2921, 5.2921 Å; angles 133.27, 133.27, 68.24 degrees
Last column: nearest neighbours and their distance in Å.
Fractional positions:
Ba  0.0000  0.0000  0.0000  4 Cu 2.97, 8 Pt 3.03
Cu  0.5000  0.5000  0.0000  4 Ba 2.97, 8 Pt 3.03
Pt  0.2500  0.7500  0.5000  4 Pt 2.97, 4 Ba 3.03, 4 Cu 3.03
Pt  0.7500  0.2500  0.5000  4 Pt 2.97, 4 Ba 3.03, 4 Cu 3.03

***

VASP calculation (PBEsol) on an optimized crystal structure of KRe3Ag.

## Properties
Total moment ... 1.7 μB per cell
Space group ... No. 221
Formation energy ... 3.240 eV per atom

Cell lengths 4.8361, 4.8361, 4.8361 Å; angles 90.00, 90.00, 90.00 degrees
Last column: nearest neighbours and their distance in Å.
Fractional positions:
K  0.0000  0.0000  0.0000  12 Re 3.42
Re  0.0000  0.5000  0.5000  2 Ag 2.42
Re  0.5000  0.0000  0.5000  2 Ag 2.42
Re  0.5000  0.5000  0.0000  2 Ag 2.42
Ag  0.5000  0.5000  0.5000  6 Re 2.42

***

VASP calculation (PBEsol) on an optimized crystal structure of HfAl2Co2.

## Properties
Total moment ... 0.0 μB per cell
Space group ... No. 139
Formation energy ... -0.345 eV per atom

Cell lengths 5.9768, 5.9768, 5.9768 Å; angles 144.66, 144.66, 50.84 degrees
Last column: nearest neighbours and their distance in Å.
Fractional positions:
Hf  0.0000  0.0000  0.0000  8 Co 2.79
Al  0.2500  0.7500  0.5000  4 Co 2.42, 4 Al 2.57
Al  0.7500  0.2500  0.5000  4 Co 2.42, 4 Al 2.57
Co  0.3986  0.3986  0.0000  1 Co 2.19, 4 Al 2.42
Co  0.6014  0.6014  0.0000  1 Co 2.19, 4 Al 2.42

***

Among the records above, which one has the highest total moment? KRe3Ag